Crystalline AcTeHPd6 at its relaxed geometry. Source: Alexandria via LeMat-Bulk, functional PBE.

a b c (Å): 9.346 7.253 7.782
angles (deg): 117.77 126.90 90.00
Element x y z (fractional)
1 Ac 0.859 0.609 0.717
2 Ac 0.141 0.391 0.283
3 Te 0.500 0.000 0.500
4 Te 0.000 0.000 0.500
5 H 0.500 0.500 0.000
6 H 0.500 0.000 0.000
7 Pd 0.551 0.801 0.102
8 Pd 0.852 0.102 0.704
9 Pd 0.802 0.194 0.269
10 Pd 0.467 0.575 0.269
11 Pd 0.467 0.194 0.269
12 Pd 0.802 0.575 0.269
13 Pd 0.449 0.199 0.898
14 Pd 0.148 0.898 0.296
15 Pd 0.198 0.806 0.731
16 Pd 0.533 0.425 0.731
17 Pd 0.533 0.806 0.731
18 Pd 0.198 0.425 0.731

Output
- Calculated total energy: -4.962 eV/atom

=====

Crystalline AcTlH6Pd2 at its relaxed geometry. Source: Alexandria via LeMat-Bulk, functional PBE.

a b c (Å): 7.388 7.388 4.835
angles (deg): 84.53 84.53 108.71
Element x y z (fractional)
1 Ac 0.173 0.827 0.250
2 Ac 0.827 0.173 0.750
3 Tl 0.598 0.402 0.250
4 Tl 0.402 0.598 0.750
5 H 0.938 0.333 0.196
6 H 0.667 0.062 0.304
7 H 0.062 0.667 0.804
8 H 0.333 0.938 0.696
9 H 0.132 0.148 0.994
10 H 0.852 0.868 0.506
11 H 0.868 0.852 0.006
12 H 0.148 0.132 0.494
13 H 0.176 0.492 0.424
14 H 0.508 0.824 0.076
15 H 0.824 0.508 0.576
16 H 0.492 0.176 0.924
17 Pd 0.325 0.163 0.714
18 Pd 0.837 0.675 0.786
19 Pd 0.675 0.837 0.286
20 Pd 0.163 0.325 0.214

Output
- Calculated total energy: -3.939 eV/atom

=====

Crystalline AcTlH8Pd2 at its relaxed geometry. Source: Alexandria via LeMat-Bulk, functional PBE.

a b c (Å): 5.056 5.056 7.094
angles (deg): 69.12 69.12 60.00
Element x y z (fractional)
1 Ac 0.500 0.500 0.500
2 Tl 0.000 0.000 0.000
3 H 0.173 0.173 0.482
4 H 0.612 0.222 0.225
5 H 0.827 0.827 0.518
6 H 0.941 0.612 0.225
7 H 0.059 0.388 0.775
8 H 0.222 0.941 0.225
9 H 0.778 0.059 0.775
10 H 0.388 0.778 0.775
11 Pd 0.257 0.257 0.229
12 Pd 0.743 0.743 0.771

Output
- Calculated total energy: -3.589 eV/atom

=====

Crystalline Ac2ZnHPd6 at its relaxed geometry. Source: Alexandria via LeMat-Bulk, functional PBE.

a b c (Å): 5.926 6.989 6.980
angles (deg): 50.27 65.28 90.28
Element x y z (fractional)
1 Ac 0.768 0.232 0.462
2 Ac 0.232 0.768 0.538
3 Zn 0.500 0.500 0.000
4 H 0.000 0.000 0.000
5 Pd 0.227 0.271 0.543
6 Pd 0.730 0.773 0.041
7 Pd 0.228 0.772 0.041
8 Pd 0.772 0.228 0.959
9 Pd 0.270 0.227 0.959
10 Pd 0.773 0.729 0.457

Output
- Calculated total energy: -5.069 eV/atom

=====

M_tot, respectively: 0.0, 0.0, 0.0, 0.0 μB/f.u..
DOS at the Fermi energy, respectively: 0.621, 0.294, 0.169, 0.305 states/eV per atom.